The following is a PBEsol calculation of an optimized crystal structure of SiSbH3, from Alexandria via LeMat-Bulk.

Cell lengths 3.933, 3.933, 3.933 Å; angles 90.00, 90.00, 90.00 degrees
Fractional positions:
Si 0.000 0.000 0.000
Sb 0.500 0.500 0.500
H 0.000 0.500 0.500
H 0.500 0.000 0.500
H 0.500 0.500 0.000

- symmetry = Pm-3m, No. 221
- crystal system = cubic
- raw total energy (eV/atom) = -3.15
- distance to the lowest polymorph of the same formula (meV/atom) = 316
- volume (Å³/atom) = 12.164